# La4PmTm3 PBE optimized geometry
data_La4PmTm3
_cell_length_a 11.682
_cell_length_b 7.335
_cell_length_c 6.380
_cell_angle_alpha 90.00
_cell_angle_beta 90.00
_cell_angle_gamma 90.00
_symmetry_space_group_name_H-M 'P m n 21'
_symmetry_Int_Tables_number 31
loop_
_symmetry_equiv_pos_as_xyz
'x,y,z'
'-x+1/2,-y,z+1/2'
'-x,y,z'
'x+1/2,-y,z+1/2'
loop_
_atom_site_label
_atom_site_type_symbol
_atom_site_fract_x
_atom_site_fract_y
_atom_site_fract_z
La1 La 0.000 0.130 0.000
La2 La 0.000 0.868 0.524
La3 La 0.241 0.125 0.340
Pm1 Pm 0.000 0.625 0.013
Tm1 Tm 0.000 0.383 0.511
Tm2 Tm 0.250 0.382 0.841
# E_tot: -75.22 eV for the cell shown
# total magnetization: 0.00 μB per formula unit
# formation enthalpy at 0 K: 0.03 eV per atom



# La2ZnNi PBE optimized geometry
data_La2ZnNi
_cell_length_a 3.653
_cell_length_b 3.629
_cell_length_c 7.386
_cell_angle_alpha 90.00
_cell_angle_beta 90.35
_cell_angle_gamma 90.00
_symmetry_space_group_name_H-M 'P 1 2/m 1'
_symmetry_Int_Tables_number 10
loop_
_symmetry_equiv_pos_as_xyz
'x,y,z'
'-x,-y,-z'
'-x,y,-z'
'x,-y,z'
loop_
_atom_site_label
_atom_site_type_symbol
_atom_site_fract_x
_atom_site_fract_y
_atom_site_fract_z
La1 La 0.003 0.000 0.271
Zn1 Zn 0.500 0.500 0.000
Ni1 Ni 0.500 0.500 0.500
# E_tot: -17.98 eV for the cell shown
# total magnetization: 0.00 μB per formula unit
# formation enthalpy at 0 K: -0.27 eV per atom



# NpGa4Ni2Os PBE optimized geometry
data_NpGa4Ni2Os
_cell_length_a 4.1230
_cell_length_b 4.1230
_cell_length_c 26.4702
_cell_angle_alpha 90.00
_cell_angle_beta 90.00
_cell_angle_gamma 120.00
_symmetry_space_group_name_H-M 'R -3 m'
_symmetry_Int_Tables_number 166
_symmetry_space_group_name_Hall '-R 3 2"'
loop_
_atom_site_label
_atom_site_type_symbol
_atom_site_fract_x
_atom_site_fract_y
_atom_site_fract_z
Np1 Np 0.0000 0.0000 0.0000
Ga1 Ga 0.0000 0.0000 0.1297
Ga2 Ga 0.0000 0.0000 0.4016
Ni1 Ni 0.0000 0.0000 0.2319
Os1 Os 0.0000 0.0000 0.5000
# E_tot: -146.70 eV for the cell shown
# total magnetization: 4.15 μB per formula unit
# formation enthalpy at 0 K: -0.13 eV per atom